No. 1
! PBE Pr4Nd2DyHo2, optimized geometry; values from VASP
&SYSTEM
  ibrav = 0, nat = 9, ntyp = 4
/
ATOMIC_SPECIES
Pr 140.91 Pr.upf
Nd 144.24 Nd.upf
Ho 164.93 Ho.upf
Dy 162.50 Dy.upf
CELL_PARAMETERS angstrom
5.172 0.000 0.000
-2.586 7.756 0.026
0.000 -2.618 7.689
ATOMIC_POSITIONS angstrom
Pr 2.586 2.559 5.170
Nd 0.000 -0.023 5.162
Pr 0.000 5.154 5.177
Pr 2.586 -0.016 2.538
Pr 0.000 2.579 2.545
Ho 0.000 5.167 0.018
Nd 2.586 5.161 2.553
Ho 2.586 -0.028 7.697
Dy 0.000 0.000 0.000
! symmetry: C2/m, No. 12
! Fermi-level density of states: 14.76 states/eV/cell
! energy relative to the elements: 0.02 eV/atom
! size of the total moment: 0.00 μB per atom
! crystal system: monoclinic
! energy: -42.216 eV per cell


No. 2
! PBE LiMnNi2, optimized geometry; values from VASP
&SYSTEM
  ibrav = 0, nat = 4, ntyp = 3
/
ATOMIC_SPECIES
Li 6.94 Li.upf
Ni 58.69 Ni.upf
Mn 54.94 Mn.upf
CELL_PARAMETERS angstrom
-1.565 5.349 6.467
-3.099 3.471 7.158
-0.661 3.409 7.800
ATOMIC_POSITIONS angstrom
Li -1.331 3.057 5.356
Ni -0.012 0.029 0.050
Mn -3.994 9.172 16.068
Ni -2.650 6.086 10.662
! symmetry: R-3m, No. 166
! Fermi-level density of states: 3.84 states/eV/cell
! energy relative to the elements: 0.05 eV/atom
! size of the total moment: 0.79 μB per atom
! crystal system: trigonal
! energy: -22.447 eV per cell


No. 3
! PBE AgSbPd5, optimized geometry; values from VASP
&SYSTEM
  ibrav = 0, nat = 7, ntyp = 3
/
ATOMIC_SPECIES
Ag 107.87 Ag.upf
Sb 121.76 Sb.upf
Pd 106.42 Pd.upf
CELL_PARAMETERS angstrom
4.058 0.000 0.000
0.000 4.058 0.000
0.000 0.000 7.446
ATOMIC_POSITIONS angstrom
Ag 0.000 0.000 3.723
Sb 2.029 2.029 0.000
Pd 2.029 0.000 5.739
Pd 2.029 0.000 1.707
Pd 0.000 2.029 5.739
Pd 0.000 2.029 1.707
Pd 2.029 2.029 3.723
! symmetry: P4/mmm, No. 123
! Fermi-level density of states: 3.66 states/eV/cell
! size of the total moment: 0.00 μB per atom
! energy relative to the elements, uncorrected: -219 meV/atom
! offset from the most stable computed form: 0 meV/atom
! crystal system: tetragonal
! energy: -34.469 eV per cell


No. 4
! PBE KCaIn4, optimized geometry; values from VASP
&SYSTEM
  ibrav = 0, nat = 6, ntyp = 3
/
ATOMIC_SPECIES
In 114.82 In.upf
Ca 40.08 Ca.upf
K 39.10 K.upf
CELL_PARAMETERS angstrom
-0.897 -6.132 -1.004
4.932 -3.847 -0.539
1.261 -4.143 4.546
ATOMIC_POSITIONS angstrom
In 2.680 -6.755 -0.398
In 3.311 -8.828 1.877
In 0.843 -6.903 2.146
Ca 0.000 0.000 0.000
K 1.324 -3.531 0.751
In 3.759 -5.759 2.379
! symmetry: F-43m, No. 216
! Fermi-level density of states: 2.59 states/eV/cell
! energy relative to the elements: -0.20 eV/atom
! size of the total moment: 0.00 μB per atom
! crystal system: cubic
! energy: -15.240 eV per cell